[1]
The following is a DFT calculation (GGA-PBE) of an optimized crystal structure of CsRb3Se.

Cell and atoms, written as POSCAR:
```
CsRb3Se
1.0
6.938 0.000 0.000
0.000 6.938 0.000
0.000 0.000 6.938
Cs Rb Se
1 3 1
Direct
0.000 0.000 0.000
0.000 0.500 0.500
0.500 0.000 0.500
0.500 0.500 0.000
0.500 0.500 0.500
```

Summary:
total magnetic moment: 0.0 μB per formula unit
final energy: -1.973 eV/atom
formation energy from raw total energies: -2.63 eV per formula unit


[2]
The following is a DFT calculation (GGA-PBE) of an optimized crystal structure of AlTeMoI2.

Cell and atoms, written as POSCAR:
```
AlTeMoI2
1.0
5.740 0.000 0.000
0.000 5.740 0.000
0.000 0.000 5.317
Al Te Mo I
1 1 1 2
Direct
0.000 0.000 0.000
0.500 0.500 0.000
0.500 0.500 0.500
0.000 0.500 0.500
0.500 0.000 0.500
```

Summary:
total magnetic moment: 2.7 μB per formula unit
final energy: -3.741 eV/atom
formation energy from raw total energies: 2.11 eV per formula unit